VASP calculation (GGA-PBE) on a relaxed TbMnCo2 crystal.

Cell and atoms, written as CIF:
```
data_TbMnCo2
_chemical_formula_sum 'Tb1 Mn1 Co2'
_space_group_name_H-M_alt 'P 4/m m m'
_space_group_IT_number 123
_space_group_name_Hall '-P 4 2'
_cell_length_a 3.0926
_cell_length_b 3.0926
_cell_length_c 6.3049
_cell_angle_alpha 90.00
_cell_angle_beta 90.00
_cell_angle_gamma 90.00
loop_
_atom_site_label
_atom_site_type_symbol
_atom_site_fract_x
_atom_site_fract_y
_atom_site_fract_z
_atom_site_occupancy
Tb1 Tb 0.0000 0.0000 0.0000 1
Mn1 Mn 0.0000 0.0000 0.5000 1
Co1 Co 0.5000 0.5000 0.2982 1
```

Its total magnetic moment is 4.47 μB/f.u. Its density of states at the Fermi level is 3.884 states/eV/cell. For the energy above the most stable polymorph in this dataset, the calculation gives 0.47 eV/f.u. The final energy comes out at -27.660 eV for the cell shown. For the formation energy, the calculation gives 0.088 eV per atom.